No. 1
## K4La3AlS8 (GGA-PBE)

Data for a relaxed K4La3AlS8 crystal.

Cell: 8.295 8.802 8.298 Å, 118.13 119.99 90.00°
Fractional coordinates of all 16 atoms:
K: 0.500 0.000 0.000
K: 0.500 0.000 0.500
K: 0.000 0.000 0.000
K: 0.000 0.000 0.500
La: 0.500 0.500 0.000
La: 0.500 0.500 0.500
La: 0.000 0.500 0.500
Al: 0.000 0.500 0.000
S: 0.215 0.696 0.980
S: 0.216 0.696 0.432
S: 0.263 0.287 0.525
S: 0.765 0.696 0.980
S: 0.235 0.304 0.020
S: 0.737 0.713 0.475
S: 0.784 0.304 0.568
S: 0.785 0.304 0.020

Computed properties:
Space-group type: C2/m, No. 12
Total magnetization, μB per cell: 0.000
Formation energy (no corrections), eV per atom: -1.650

No. 2
## ReIrIN2 (GGA-PBE)

Data for a relaxed ReIrIN2 crystal.

Cell: 3.833 3.833 5.957 Å, 90.00 90.00 90.00°
Site moments in Bohr magnetons follow the coordinates.
Fractional coordinates of all 5 atoms:
I: 0.000 0.000 0.500  0.01
Re: 0.000 0.000 0.000  -0.08
Ir: 0.500 0.500 0.500  0.79
N: 0.000 0.500 0.000  0.08
N: 0.500 0.000 0.000  0.08

Computed properties:
Space-group type: P4/mmm, No. 123
Total magnetization, μB per cell: 1.029
Energy above the lowest structure with this stoichiometry, eV/atom: 0.000
Formation energy (no corrections), eV per atom: 1.145

No. 3
## ZrInAg2 (GGA-PBE)

Data for a relaxed ZrInAg2 crystal.

Cell: 5.356 5.356 3.048 Å, 90.00 90.00 108.82°
Fractional coordinates of all 4 atoms:
Ag: 0.000 0.000 0.000
Ag: 0.500 0.500 0.000
In: 0.500 0.000 0.500
Zr: 0.000 0.500 0.500

Computed properties:
ΔH_f (0 K), meV per atom: 64.4
Space-group type: Cmmm, No. 65
Total magnetization, μB per cell: 0.001

No. 4
## YCoPt4 (GGA-PBE)

Data for a relaxed YCoPt4 crystal.

Cell: 5.314 5.314 5.314 Å, 60.00 60.00 60.00°
Site moments in Bohr magnetons follow the coordinates.
Fractional coordinates of all 6 atoms:
Y: 0.250 0.250 0.250  -0.03
Co: 0.000 0.000 0.000  1.98
Pt: 0.626 0.626 0.123  0.02
Pt: 0.626 0.123 0.626  0.02
Pt: 0.626 0.626 0.626  0.02
Pt: 0.123 0.626 0.626  0.02

Computed properties:
ΔH_f (0 K), meV per atom: -472.0
Space-group type: F-43m, No. 216
Total magnetization, μB per cell: 1.987